1.
Density functional theory data (PBE) for crystalline RbAsRu2Br at its relaxed geometry. Values from VASP.

Cell and atoms, written as Quantum ESPRESSO input:
```
&SYSTEM
  ibrav = 0, nat = 5, ntyp = 4
/
ATOMIC_SPECIES
Rb 85.47 Rb.upf
As 74.92 As.upf
Ru 101.07 Ru.upf
Br 79.90 Br.upf
ATOMIC_POSITIONS angstrom
Rb 0.000 0.000 0.000
As 0.000 0.000 2.923
Ru 0.000 2.539 0.000
Ru 2.539 0.000 0.000
Br 2.539 2.539 2.923
CELL_PARAMETERS angstrom
5.078 0.000 0.000
0.000 5.078 0.000
0.000 0.000 5.845
```

Values from the calculation:
ΔE_f (raw) ... 2575 meV/atom
ρ ... 4.87 g/cm³
SG ... P4/mmm, No. 123

2.
Density functional theory data (PBE) for crystalline RbAsSBr2 at its relaxed geometry. Values from VASP.

Cell and atoms, written as Quantum ESPRESSO input:
```
&SYSTEM
  ibrav = 0, nat = 5, ntyp = 4
/
ATOMIC_SPECIES
Rb 85.47 Rb.upf
As 74.92 As.upf
S 32.06 S.upf
Br 79.90 Br.upf
ATOMIC_POSITIONS angstrom
Rb 0.000 0.000 0.000
As 2.971 2.971 0.000
S 2.971 2.971 2.348
Br 0.000 2.971 2.348
Br 2.971 0.000 2.348
CELL_PARAMETERS angstrom
5.943 0.000 0.000
0.000 5.943 0.000
0.000 0.000 4.695
```

Values from the calculation:
ΔE_f (raw) ... -226 meV/atom
ρ ... 3.53 g/cm³
Polymorph energy (0 for the lowest one) ... 0.434 eV/atom
SG ... P4/mmm, No. 123

3.
Density functional theory data (PBE) for crystalline RbAs2SBr at its relaxed geometry. Values from VASP.

Cell and atoms, written as Quantum ESPRESSO input:
```
&SYSTEM
  ibrav = 0, nat = 5, ntyp = 4
/
ATOMIC_SPECIES
Rb 85.47 Rb.upf
As 74.92 As.upf
S 32.06 S.upf
Br 79.90 Br.upf
ATOMIC_POSITIONS angstrom
Rb 0.000 0.000 0.000
As 0.000 3.809 0.000
As 3.809 0.000 0.000
S 3.809 3.809 3.201
Br 0.000 0.000 3.201
CELL_PARAMETERS angstrom
7.617 0.000 0.000
0.000 7.617 0.000
0.000 0.000 6.403
```

Values from the calculation:
ΔE_f (raw) ... 1231 meV/atom
ρ ... 1.55 g/cm³
Polymorph energy (0 for the lowest one) ... 1.289 eV/atom
SG ... P4/mmm, No. 123

4.
Density functional theory data (PBE) for crystalline Rb2AsSBr6 at its relaxed geometry. Values from VASP.

Cell and atoms, written as Quantum ESPRESSO input:
```
&SYSTEM
  ibrav = 0, nat = 10, ntyp = 4
/
ATOMIC_SPECIES
Rb 85.47 Rb.upf
As 74.92 As.upf
S 32.06 S.upf
Br 79.90 Br.upf
ATOMIC_POSITIONS angstrom
Rb 3.915 0.000 2.647
Rb 0.000 3.915 2.647
As 0.000 0.000 0.000
S 0.000 0.000 5.294
Br 1.872 1.872 0.000
Br 2.043 -2.043 5.294
Br 0.000 0.000 2.675
Br 0.000 0.000 7.913
Br -2.043 2.043 5.294
Br 2.043 2.043 5.294
CELL_PARAMETERS angstrom
-3.915 3.915 5.294
3.915 -3.915 5.294
3.915 3.915 -5.294
```

Values from the calculation:
ΔE_f (raw) ... -725 meV/atom
ρ ... 3.87 g/cm³
SG ... I4/mmm, No. 139

5.
Density functional theory data (PBE) for crystalline RbAsSBr2 at its relaxed geometry. Values from VASP.

Cell and atoms, written as Quantum ESPRESSO input:
```
&SYSTEM
  ibrav = 0, nat = 5, ntyp = 4
/
ATOMIC_SPECIES
Rb 85.47 Rb.upf
As 74.92 As.upf
S 32.06 S.upf
Br 79.90 Br.upf
ATOMIC_POSITIONS angstrom
Rb 0.000 0.000 0.000
As 2.792 2.792 2.411
S 2.792 2.792 0.000
Br 0.000 2.792 2.411
Br 2.792 0.000 2.411
CELL_PARAMETERS angstrom
5.584 0.000 0.000
0.000 5.584 0.000
0.000 0.000 4.822
```

Values from the calculation:
ΔE_f (raw) ... -661 meV/atom
ρ ... 3.89 g/cm³
Polymorph energy (0 for the lowest one) ... 0.000 eV/atom
SG ... P4/mmm, No. 123

6.
Density functional theory data (PBE) for crystalline RbAsSBr2 at its relaxed geometry. Values from VASP.

Cell and atoms, written as Quantum ESPRESSO input:
```
&SYSTEM
  ibrav = 0, nat = 5, ntyp = 4
/
ATOMIC_SPECIES
Rb 85.47 Rb.upf
As 74.92 As.upf
S 32.06 S.upf
Br 79.90 Br.upf
ATOMIC_POSITIONS angstrom
Rb 0.000 0.000 0.000
As 0.000 0.000 3.585
S 3.130 3.130 3.585
Br 0.000 3.130 0.000
Br 3.130 0.000 0.000
CELL_PARAMETERS angstrom
6.260 0.000 0.000
0.000 6.260 0.000
0.000 0.000 7.171
```

Values from the calculation:
ΔE_f (raw) ... 906 meV/atom
ρ ... 2.08 g/cm³
Polymorph energy (0 for the lowest one) ... 1.567 eV/atom
SG ... P4/mmm, No. 123

7.
Density functional theory data (PBE) for crystalline Rb5AsS4Br2 at its relaxed geometry. Values from VASP.

Cell and atoms, written as Quantum ESPRESSO input:
```
&SYSTEM
  ibrav = 0, nat = 12, ntyp = 4
/
ATOMIC_SPECIES
Rb 85.47 Rb.upf
As 74.92 As.upf
S 32.06 S.upf
Br 79.90 Br.upf
ATOMIC_POSITIONS angstrom
Rb 0.000 0.000 0.000
Rb 2.739 -2.259 3.947
Rb 2.739 2.259 3.947
Rb 7.333 -2.259 3.947
Rb 7.333 2.259 3.947
As 5.036 0.000 7.757
S 3.247 0.000 0.876
S 5.036 -1.761 6.438
S 5.036 1.761 6.438
S 6.825 0.000 0.876
Br 0.000 -2.683 6.005
Br 0.000 2.683 6.005
CELL_PARAMETERS angstrom
10.072 0.000 0.000
0.000 5.695 4.084
0.000 -5.695 4.084
```

Values from the calculation:
ΔE_f (raw) ... -1121 meV/atom
ρ ... 2.80 g/cm³
SG ... Amm2, No. 38

8.
Density functional theory data (PBE) for crystalline RbAs2SBr at its relaxed geometry. Values from VASP.

Cell and atoms, written as Quantum ESPRESSO input:
```
&SYSTEM
  ibrav = 0, nat = 5, ntyp = 4
/
ATOMIC_SPECIES
Rb 85.47 Rb.upf
As 74.92 As.upf
S 32.06 S.upf
Br 79.90 Br.upf
ATOMIC_POSITIONS angstrom
Rb 0.000 0.000 0.000
As 0.000 2.389 4.271
As 2.389 0.000 4.271
S 2.389 2.389 4.271
Br 2.389 2.389 0.000
CELL_PARAMETERS angstrom
4.779 0.000 0.000
0.000 4.779 0.000
0.000 0.000 8.543
```

Values from the calculation:
ΔE_f (raw) ... -58 meV/atom
ρ ... 2.96 g/cm³
Polymorph energy (0 for the lowest one) ... 0.000 eV/atom
SG ... P4/mmm, No. 123

9.
Density functional theory data (PBE) for crystalline Rb2ScAsBr6 at its relaxed geometry. Values from VASP.

Cell and atoms, written as Quantum ESPRESSO input:
```
&SYSTEM
  ibrav = 0, nat = 10, ntyp = 4
/
ATOMIC_SPECIES
Rb 85.47 Rb.upf
Sc 44.96 Sc.upf
As 74.92 As.upf
Br 79.90 Br.upf
ATOMIC_POSITIONS angstrom
Rb 3.778 0.000 3.228
Rb 0.000 3.778 3.228
Sc 0.000 0.000 0.000
As 0.000 0.000 6.457
Br 0.000 0.000 2.658
Br 1.885 1.885 0.000
Br 1.893 -1.893 6.457
Br -1.893 1.893 6.457
Br 1.893 1.893 6.457
Br 0.000 0.000 10.255
CELL_PARAMETERS angstrom
-3.778 3.778 6.457
3.778 -3.778 6.457
3.778 3.778 -6.457
```

Values from the calculation:
ΔE_f (raw) ... -1222 meV/atom
ρ ... 3.47 g/cm³
SG ... I4/mmm, No. 139

10.
Density functional theory data (PBE) for crystalline RbScAs2Br at its relaxed geometry. Values from VASP.

Cell and atoms, written as Quantum ESPRESSO input:
```
&SYSTEM
  ibrav = 0, nat = 5, ntyp = 4
/
ATOMIC_SPECIES
Rb 85.47 Rb.upf
Sc 44.96 Sc.upf
As 74.92 As.upf
Br 79.90 Br.upf
ATOMIC_POSITIONS angstrom
Rb 0.000 0.000 0.000
Sc 2.741 2.741 2.861
As 0.000 2.741 0.000
As 2.741 0.000 0.000
Br 0.000 0.000 2.861
CELL_PARAMETERS angstrom
5.483 0.000 0.000
0.000 5.483 0.000
0.000 0.000 5.723
```

Values from the calculation:
ΔE_f (raw) ... 920 meV/atom
ρ ... 3.48 g/cm³
Polymorph energy (0 for the lowest one) ... 1.557 eV/atom
SG ... P4/mmm, No. 123

11.
Density functional theory data (PBE) for crystalline RbScAs2Br at its relaxed geometry. Values from VASP.

Cell and atoms, written as Quantum ESPRESSO input:
```
&SYSTEM
  ibrav = 0, nat = 5, ntyp = 4
/
ATOMIC_SPECIES
Rb 85.47 Rb.upf
Sc 44.96 Sc.upf
As 74.92 As.upf
Br 79.90 Br.upf
ATOMIC_POSITIONS angstrom
Rb 0.000 0.000 0.000
Sc 2.599 2.599 2.887
As 0.000 2.599 2.887
As 2.599 0.000 2.887
Br 2.599 2.599 0.000
CELL_PARAMETERS angstrom
5.199 0.000 0.000
0.000 5.199 0.000
0.000 0.000 5.774
```

Values from the calculation:
ΔE_f (raw) ... -638 meV/atom
ρ ... 3.83 g/cm³
Polymorph energy (0 for the lowest one) ... 0.000 eV/atom
SG ... P4/mmm, No. 123

12.
Density functional theory data (PBE) for crystalline RbAs2SeBr at its relaxed geometry. Values from VASP.

Cell and atoms, written as Quantum ESPRESSO input:
```
&SYSTEM
  ibrav = 0, nat = 5, ntyp = 4
/
ATOMIC_SPECIES
Rb 85.47 Rb.upf
As 74.92 As.upf
Se 78.96 Se.upf
Br 79.90 Br.upf
ATOMIC_POSITIONS angstrom
Rb 0.000 0.000 0.000
As 0.000 3.699 0.000
As 3.699 0.000 0.000
Se 3.699 3.699 3.199
Br 0.000 0.000 3.199
CELL_PARAMETERS angstrom
7.399 0.000 0.000
0.000 7.399 0.000
0.000 0.000 6.399
```

Values from the calculation:
ΔE_f (raw) ... 1138 meV/atom
ρ ... 1.87 g/cm³
Polymorph energy (0 for the lowest one) ... 1.158 eV/atom
SG ... P4/mmm, No. 123

13.
Density functional theory data (PBE) for crystalline RbAs2SeBr at its relaxed geometry. Values from VASP.

Cell and atoms, written as Quantum ESPRESSO input:
```
&SYSTEM
  ibrav = 0, nat = 5, ntyp = 4
/
ATOMIC_SPECIES
Rb 85.47 Rb.upf
As 74.92 As.upf
Se 78.96 Se.upf
Br 79.90 Br.upf
ATOMIC_POSITIONS angstrom
Rb 0.000 0.000 0.000
As 0.000 3.470 0.000
As 3.470 0.000 0.000
Se 0.000 0.000 3.177
Br 3.470 3.470 3.177
CELL_PARAMETERS angstrom
6.939 0.000 0.000
0.000 6.939 0.000
0.000 0.000 6.355
```

Values from the calculation:
ΔE_f (raw) ... 1324 meV/atom
ρ ... 2.14 g/cm³
Polymorph energy (0 for the lowest one) ... 1.345 eV/atom
SG ... P4/mmm, No. 123

14.
Density functional theory data (PBE) for crystalline RbAs2SeBr at its relaxed geometry. Values from VASP.

Cell and atoms, written as Quantum ESPRESSO input:
```
&SYSTEM
  ibrav = 0, nat = 5, ntyp = 4
/
ATOMIC_SPECIES
Rb 85.47 Rb.upf
As 74.92 As.upf
Se 78.96 Se.upf
Br 79.90 Br.upf
ATOMIC_POSITIONS angstrom
Rb 0.000 0.000 0.000
As 0.000 2.489 4.138
As 2.489 0.000 4.138
Se 2.489 2.489 4.138
Br 2.489 2.489 0.000
CELL_PARAMETERS angstrom
4.978 0.000 0.000
0.000 4.978 0.000
0.000 0.000 8.276
```

Values from the calculation:
ΔE_f (raw) ... -21 meV/atom
ρ ... 3.19 g/cm³
Polymorph energy (0 for the lowest one) ... 0.000 eV/atom
SG ... P4/mmm, No. 123

15.
Density functional theory data (PBE) for crystalline Rb2AsSeBr6 at its relaxed geometry. Values from VASP.

Cell and atoms, written as Quantum ESPRESSO input:
```
&SYSTEM
  ibrav = 0, nat = 10, ntyp = 4
/
ATOMIC_SPECIES
Rb 85.47 Rb.upf
As 74.92 As.upf
Se 78.96 Se.upf
Br 79.90 Br.upf
ATOMIC_POSITIONS angstrom
Rb 3.949 0.000 2.715
Rb 0.000 3.949 2.715
As 0.000 0.000 0.000
Se 0.000 0.000 5.430
Br 1.886 1.886 0.000
Br 2.063 -2.063 5.430
Br 0.000 0.000 2.683
Br 0.000 0.000 8.176
Br -2.063 2.063 5.430
Br 2.063 2.063 5.430
CELL_PARAMETERS angstrom
-3.949 3.949 5.430
3.949 -3.949 5.430
3.949 3.949 -5.430
```

Values from the calculation:
ΔE_f (raw) ... -782 meV/atom
ρ ... 3.94 g/cm³
SG ... I4/mmm, No. 139

16.
Density functional theory data (PBE) for crystalline RbAs2SeBr at its relaxed geometry. Values from VASP.

Cell and atoms, written as Quantum ESPRESSO input:
```
&SYSTEM
  ibrav = 0, nat = 5, ntyp = 4
/
ATOMIC_SPECIES
Rb 85.47 Rb.upf
As 74.92 As.upf
Se 78.96 Se.upf
Br 79.90 Br.upf
ATOMIC_POSITIONS angstrom
Rb 0.000 0.000 0.000
As 0.000 2.649 2.868
As 2.649 0.000 2.868
Se 2.649 2.649 0.000
Br 2.649 2.649 2.868
CELL_PARAMETERS angstrom
5.298 0.000 0.000
0.000 5.298 0.000
0.000 0.000 5.737
```

Values from the calculation:
ΔE_f (raw) ... 531 meV/atom
ρ ... 4.07 g/cm³
Polymorph energy (0 for the lowest one) ... 0.551 eV/atom
SG ... P4/mmm, No. 123

17.
Density functional theory data (PBE) for crystalline Rb2SiAsBr6 at its relaxed geometry. Values from VASP.

Cell and atoms, written as Quantum ESPRESSO input:
```
&SYSTEM
  ibrav = 0, nat = 10, ntyp = 4
/
ATOMIC_SPECIES
Rb 85.47 Rb.upf
Si 28.09 Si.upf
As 74.92 As.upf
Br 79.90 Br.upf
ATOMIC_POSITIONS angstrom
Rb 3.855 0.000 2.732
Rb 0.000 3.855 2.732
Si 0.000 0.000 0.000
As 0.000 0.000 5.464
Br 0.000 0.000 2.686
Br 1.894 1.894 0.000
Br 1.961 -1.961 5.464
Br -1.961 1.961 5.464
Br 0.000 0.000 8.243
Br 1.961 1.961 5.464
CELL_PARAMETERS angstrom
-3.855 3.855 5.464
3.855 -3.855 5.464
3.855 3.855 -5.464
```

Values from the calculation:
ΔE_f (raw) ... -851 meV/atom
ρ ... 3.85 g/cm³
SG ... I4/mmm, No. 139

18.
Density functional theory data (PBE) for crystalline RbSiAsBr2 at its relaxed geometry. Values from VASP.

Cell and atoms, written as Quantum ESPRESSO input:
```
&SYSTEM
  ibrav = 0, nat = 5, ntyp = 4
/
ATOMIC_SPECIES
Rb 85.47 Rb.upf
Si 28.09 Si.upf
As 74.92 As.upf
Br 79.90 Br.upf
ATOMIC_POSITIONS angstrom
Rb 0.000 0.000 0.000
Si 3.153 3.153 3.214
As 0.000 0.000 3.214
Br 0.000 3.153 0.000
Br 3.153 0.000 0.000
CELL_PARAMETERS angstrom
6.307 0.000 0.000
0.000 6.307 0.000
0.000 0.000 6.429
```

Values from the calculation:
ΔE_f (raw) ... 833 meV/atom
ρ ... 2.26 g/cm³
Polymorph energy (0 for the lowest one) ... 1.203 eV/atom
SG ... P4/mmm, No. 123

19.
Density functional theory data (PBE) for crystalline RbSiAsBr2 at its relaxed geometry. Values from VASP.

Cell and atoms, written as Quantum ESPRESSO input:
```
&SYSTEM
  ibrav = 0, nat = 5, ntyp = 4
/
ATOMIC_SPECIES
Rb 85.47 Rb.upf
Si 28.09 Si.upf
As 74.92 As.upf
Br 79.90 Br.upf
ATOMIC_POSITIONS angstrom
Rb 0.000 0.000 0.000
Si 2.786 2.786 2.488
As 2.786 2.786 0.000
Br 0.000 2.786 2.488
Br 2.786 0.000 2.488
CELL_PARAMETERS angstrom
5.572 0.000 0.000
0.000 5.572 0.000
0.000 0.000 4.977
```

Values from the calculation:
ΔE_f (raw) ... -370 meV/atom
ρ ... 3.74 g/cm³
Polymorph energy (0 for the lowest one) ... 0.000 eV/atom
SG ... P4/mmm, No. 123

20.
Density functional theory data (PBE) for crystalline RbSiAs2Br at its relaxed geometry. Values from VASP.

Cell and atoms, written as Quantum ESPRESSO input:
```
&SYSTEM
  ibrav = 0, nat = 5, ntyp = 4
/
ATOMIC_SPECIES
Rb 85.47 Rb.upf
Si 28.09 Si.upf
As 74.92 As.upf
Br 79.90 Br.upf
ATOMIC_POSITIONS angstrom
Rb 0.000 0.000 0.000
Si 3.328 3.328 3.076
As 0.000 3.328 0.000
As 3.328 0.000 0.000
Br 0.000 0.000 3.076
CELL_PARAMETERS angstrom
6.655 0.000 0.000
0.000 6.655 0.000
0.000 0.000 6.152
```

Values from the calculation:
ΔE_f (raw) ... 1437 meV/atom
ρ ... 2.09 g/cm³
Polymorph energy (0 for the lowest one) ... 1.506 eV/atom
SG ... P4/mmm, No. 123